Below is a geometry-optimized Cs2ICl4 structure, with properties calculated at the PBE level.

Cell lengths 4.689, 7.953, 7.953 Å; angles 90.00, 90.00, 90.00 degrees
Positions (direct):
Cs  0.500  0.000  0.500
Cs  0.500  0.500  0.000
I  0.000  0.000  0.000
Cl  0.000  0.754  0.754
Cl  0.000  0.246  0.246
Cl  0.000  0.754  0.246
Cl  0.000  0.246  0.754

Values from the calculation:
The final energy comes out at -18.5 eV per cell. Its space-group type is P4/mmm, No. 123. The calculation puts the formation energy without anion corrections at -1.125 eV per atom. The energy above the most stable polymorph in this dataset comes out at 0.061 eV/atom. The density of states at the Fermi level comes out at 5.01 states/eV/f.u.